Record 1
Here is PuAg2Hg after structural relaxation from Alexandria. Energies are from GGA-PBE.

Final energy = -19.83 eV for the cell shown
Energy of formation = 2.932 kcal/mol of atoms

abc: 10.520 10.520 10.520
angles: 17.02 17.02 17.02
Positions (direct):
Pu1 0.000 0.000 0.000
Ag1 0.247 0.247 0.247
Ag2 0.753 0.753 0.753
Hg1 0.500 0.500 0.500

Record 2
Here is Hf5Si4 after structural relaxation from Alexandria. Energies are from GGA-PBE.

Final energy = -77.87 eV for the cell shown
Polymorph energy (0 for the lowest one) = 95 meV per atom
Raw formation energy = -0.712 eV per atom

abc: 5.322 5.322 8.983
angles: 110.78 110.78 43.07
Positions (direct):
Hf1 0.000 0.000 0.000
Hf2 0.107 0.107 0.392
Hf3 0.251 0.251 0.836
Hf4 0.749 0.749 0.164
Hf5 0.893 0.893 0.608
Si1 0.379 0.379 0.391
Si2 0.452 0.452 0.166
Si3 0.548 0.548 0.834
Si4 0.621 0.621 0.609

Record 3
Here is AgW3Cl after structural relaxation from Alexandria. Energies are from GGA-PBE.

Final energy = -27.47 eV for the cell shown
Polymorph energy (0 for the lowest one) = 1655 meV per atom
Raw formation energy = 3.218 eV per atom

abc: 4.896 4.896 4.896
angles: 90.00 90.00 90.00
Positions (direct):
Ag1 0.000 0.000 0.000
W1 0.000 0.000 0.500
W2 0.000 0.500 0.000
W3 0.500 0.000 0.000
Cl1 0.500 0.500 0.500

Record 4
Here is BaCaAl2 after structural relaxation from Alexandria. Energies are from GGA-PBE.

Final energy = -10.86 eV for the cell shown
Polymorph energy (0 for the lowest one) = 324 meV per atom
Energy of formation = 3.168 kcal/mol of atoms

abc: 5.464 5.464 5.464
angles: 60.00 60.00 60.00
Positions (direct):
Ba1 0.000 0.000 0.000
Ca1 0.250 0.250 0.250
Al1 0.500 0.500 0.500
Al2 0.750 0.750 0.750

Record 5
Here is Sr3VN4 after structural relaxation from Alexandria. Energies are from GGA-PBE.

Final energy = -216.41 eV for the cell shown
Raw formation energy = -0.830 eV per atom

abc: 7.576 8.389 8.536
angles: 90.00 90.00 90.00
Positions (direct):
Sr1 0.036 0.030 0.213
Sr2 0.036 0.470 0.213
Sr3 0.162 0.750 0.484
Sr4 0.338 0.250 0.984
Sr5 0.464 0.530 0.713
Sr6 0.464 0.970 0.713
Sr7 0.536 0.030 0.287
Sr8 0.536 0.470 0.287
Sr9 0.662 0.750 0.016
Sr10 0.838 0.250 0.516
Sr11 0.964 0.530 0.787
Sr12 0.964 0.970 0.787
V1 0.227 0.750 0.987
V2 0.273 0.250 0.487
V3 0.727 0.750 0.513
V4 0.773 0.250 0.013
N1 0.000 0.250 0.946
N2 0.000 0.750 0.054
N3 0.169 0.065 0.553
N4 0.169 0.435 0.553
N5 0.222 0.750 0.773
N6 0.278 0.250 0.273
N7 0.331 0.565 0.053
N8 0.331 0.935 0.053
N9 0.500 0.250 0.554
N10 0.500 0.750 0.446
N11 0.669 0.065 0.947
N12 0.669 0.435 0.947
N13 0.722 0.750 0.727
N14 0.778 0.250 0.227
N15 0.831 0.565 0.447
N16 0.831 0.935 0.447

Record 6
Here is YBiSO2 after structural relaxation from Alexandria. Energies are from GGA-PBE.

Final energy = -69.25 eV for the cell shown
Raw formation energy = -2.047 eV per atom

abc: 6.363 4.000 7.669
angles: 90.00 105.87 90.00
Positions (direct):
Y1 0.195 0.250 0.429
Y2 0.805 0.750 0.571
Bi1 0.197 0.250 0.911
Bi2 0.803 0.750 0.089
S1 0.442 0.750 0.704
S2 0.558 0.250 0.296
O1 0.007 0.750 0.880
O2 0.021 0.750 0.372
O3 0.979 0.250 0.628
O4 0.993 0.250 0.120

Record 7
Here is CaAcInAg after structural relaxation from Alexandria. Energies are from GGA-PBE.

Final energy = -13.22 eV for the cell shown
Energy of formation = -8.761 kcal/mol of atoms

abc: 5.562 5.562 5.562
angles: 60.00 60.00 60.00
Positions (direct):
Ca1 0.000 0.000 0.000
Ac1 0.500 0.500 0.500
In1 0.250 0.250 0.250
Ag1 0.750 0.750 0.750

Record 8
Here is CsScSb2I after structural relaxation from Alexandria. Energies are from GGA-PBE.

Final energy = -11.53 eV for the cell shown
Polymorph energy (0 for the lowest one) = 1604 meV per atom
Raw formation energy = 1.091 eV per atom

abc: 6.121 6.121 6.523
angles: 90.00 90.00 90.00
Positions (direct):
Cs1 0.000 0.000 0.000
Sc1 0.500 0.500 0.500
Sb1 0.000 0.500 0.000
Sb2 0.500 0.000 0.000
I1 0.000 0.000 0.500

Record 9
Here is Sr2AlPb after structural relaxation from Alexandria. Energies are from GGA-PBE.

Final energy = -21.19 eV for the cell shown
Polymorph energy (0 for the lowest one) = 355 meV per atom
Energy of formation = 1.276 kcal/mol of atoms

abc: 7.305 7.305 7.305
angles: 104.51 104.51 119.93
Positions (direct):
Sr1 0.117 0.125 0.492
Sr2 0.375 0.883 0.008
Sr3 0.633 0.625 0.508
Sr4 0.875 0.367 0.992
Al1 0.000 0.000 0.000
Al2 0.750 0.250 0.500
Pb1 0.250 0.750 0.500
Pb2 0.500 0.500 0.000

Record 10
Here is BaSbCl2 after structural relaxation from Alexandria. Energies are from GGA-PBE.

Final energy = -14.42 eV for the cell shown
Polymorph energy (0 for the lowest one) = 130 meV per atom
Raw formation energy = -1.170 eV per atom

abc: 5.281 4.897 5.292
angles: 90.00 90.59 90.00
Positions (direct):
Ba1 0.000 0.000 0.000
Sb1 0.500 0.000 0.500
Cl1 0.273 0.500 0.273
Cl2 0.727 0.500 0.727

Record 11
Here is PaTlBiO5 after structural relaxation from Alexandria. Energies are from GGA-PBE.

Final energy = -113.01 eV for the cell shown
Raw formation energy = -1.997 eV per atom

abc: 6.597 6.597 8.333
angles: 103.50 103.50 106.67
Positions (direct):
Pa1 0.000 0.000 0.000
Pa2 0.000 0.000 0.500
Tl1 0.314 0.686 0.750
Tl2 0.686 0.314 0.250
Bi1 0.316 0.684 0.250
Bi2 0.684 0.316 0.750
O1 0.058 0.942 0.750
O2 0.092 0.709 0.396
O3 0.207 0.346 0.077
O4 0.291 0.908 0.104
O5 0.346 0.207 0.577
O6 0.654 0.793 0.423
O7 0.709 0.092 0.896
O8 0.793 0.654 0.923
O9 0.908 0.291 0.604
O10 0.942 0.058 0.250

Record 12
Here is La2Dy3Tm3 after structural relaxation from Alexandria. Energies are from GGA-PBE.

Final energy = -72.16 eV for the cell shown
Polymorph energy (0 for the lowest one) = 90 meV per atom
Energy of formation = 2.873 kcal/mol of atoms

abc: 8.991 8.991 16.695
angles: 90.00 90.00 157.03
Positions (direct):
La1 0.221 0.779 0.651
La2 0.221 0.779 0.849
La3 0.779 0.221 0.151
La4 0.779 0.221 0.349
Dy1 0.359 0.641 0.514
Dy2 0.359 0.641 0.986
Dy3 0.394 0.606 0.750
Dy4 0.606 0.394 0.250
Dy5 0.641 0.359 0.014
Dy6 0.641 0.359 0.486
Tm1 0.005 0.995 0.600
Tm2 0.005 0.995 0.900
Tm3 0.421 0.579 0.250
Tm4 0.579 0.421 0.750
Tm5 0.995 0.005 0.100
Tm6 0.995 0.005 0.400

| no. | N(E_F) (states/eV/cell) |
| --- | --- |
| 1 | 7.63 |
| 2 | 5.38 |
| 3 | 9.70 |
| 4 | 4.62 |
| 5 | 15.80 |
| 6 | 0.00 |
| 7 | 3.41 |
| 8 | 8.18 |
| 9 | 7.56 |
| 10 | 1.36 |
| 11 | 7.74 |
| 12 | 21.35 |